# 1
Density functional theory data (PBE-GGA) for an optimized crystal structure of Na2Ca2Br.

Calculated values
- Formation energy (no corrections): -1.99 eV per formula unit
- M_tot: 0.0 μB/f.u.
- Space-group type: P4/mbm
- Density: 1.72 Mg/m³

a b c (Å): 7.9798 7.9798 6.2441
angles (deg): 90.00 90.00 90.00
Element x y z (fractional)
Na (0.1461, 0.3539, 0.0000)
Na (0.3539, 0.8539, 0.0000)
Na (0.6461, 0.1461, 0.0000)
Na (0.8539, 0.6461, 0.0000)
Ca (0.1661, 0.6661, 0.5000)
Ca (0.3339, 0.1661, 0.5000)
Ca (0.6661, 0.8339, 0.5000)
Ca (0.8339, 0.3339, 0.5000)
Br (0.0000, 0.0000, 0.5000)
Br (0.5000, 0.5000, 0.5000)

# 2
Density functional theory data (PBE-GGA) for an optimized crystal structure of InRuNF2.

Calculated values
- Formation energy (no corrections): 0.25 eV per formula unit
- M_tot: 3.9 μB/f.u.
- Space-group type: P4/mmm
- Density: 5.86 Mg/m³

a b c (Å): 4.2182 4.2182 4.2691
angles (deg): 90.00 90.00 90.00
Element x y z (fractional)
In (0.0000, 0.0000, 0.0000)
Ru (0.5000, 0.5000, 0.5000)
N (0.0000, 0.0000, 0.5000)
F (0.0000, 0.5000, 0.0000)
F (0.5000, 0.0000, 0.0000)

# 3
Density functional theory data (PBE-GGA) for an optimized crystal structure of ZrNbCu2.

Calculated values
- ΔH_f (0 K): 0.3708 eV/atom
- M_tot: 0.0 μB/f.u.
- Space-group type: I-42d
- Density: 7.47 Mg/m³

a b c (Å): 5.7672 5.7672 5.7672
angles (deg): 101.94 101.94 125.89
Element x y z (fractional)
Zr (0.0000, 0.0000, 0.0000)
Zr (0.7500, 0.2500, 0.5000)
Nb (0.2500, 0.7500, 0.5000)
Nb (0.5000, 0.5000, 0.0000)
Cu (0.1374, 0.6250, 0.0124)
Cu (0.3750, 0.3874, 0.5124)
Cu (0.6126, 0.1250, 0.9876)
Cu (0.8750, 0.8626, 0.4876)

# 4
Density functional theory data (PBE-GGA) for an optimized crystal structure of MoIrRh2.

Calculated values
- ΔH_f (0 K): -0.1122 eV/atom
- M_tot: 0.0 μB/f.u.
- Space-group type: P4mm
- Density: 13.99 Mg/m³

a b c (Å): 2.7477 2.7477 7.7655
angles (deg): 90.00 90.00 90.00
Element x y z (fractional)
Mo (0.0000, 0.0000, 0.0000)
Ir (0.5000, 0.5000, 0.7497)
Rh (0.0000, 0.0000, 0.5005)
Rh (0.5000, 0.5000, 0.2467)